[1]
# GGA-PBE AgIr2Rh, optimized geometry
# total moment: 0.0 μB per cell
# offset from the most stable computed form: 216 meV per atom
data_AgIr2Rh
_space_group_name_H-M_alt 'I m m 2'
_space_group_IT_number 44
_cell_length_a 2.7429
_cell_length_b 4.7063
_cell_length_c 9.6604
_cell_angle_alpha 90.00
_cell_angle_beta 90.00
_cell_angle_gamma 90.00
loop_
_space_group_symop_operation_xyz
'x,y,z'
'-x,-y,z'
'-x,y,z'
'x,-y,z'
'x+1/2,y+1/2,z+1/2'
'-x+1/2,-y+1/2,z+1/2'
'-x+1/2,y+1/2,z+1/2'
'x+1/2,-y+1/2,z+1/2'
loop_
_atom_site_label
_atom_site_type_symbol
_atom_site_fract_x
_atom_site_fract_y
_atom_site_fract_z
_atom_site_occupancy
Ag1 Ag 0.0000 0.0000 0.0000 1
Ir1 Ir 0.0000 0.0000 0.5072 1
Ir2 Ir 0.0000 0.5000 0.2348 1
Rh1 Rh 0.0000 0.5000 0.7706 1

=====

[2]
# GGA-PBE Ag2IrRh, optimized geometry
# total moment: 3.3 μB per cell
# offset from the most stable computed form: 154 meV per atom
data_Ag2IrRh
_space_group_name_H-M_alt 'R -3 m'
_space_group_IT_number 166
_space_group_name_Hall '-R 3 2"'
_cell_length_a 2.7694
_cell_length_b 2.7694
_cell_length_c 28.7694
_cell_angle_alpha 90.00
_cell_angle_beta 90.00
_cell_angle_gamma 120.00
loop_
_atom_site_label
_atom_site_type_symbol
_atom_site_fract_x
_atom_site_fract_y
_atom_site_fract_z
_atom_site_occupancy
Ag1 Ag 0.0000 0.0000 0.2492 1
Ir1 Ir 0.0000 0.0000 0.0000 1
Rh1 Rh 0.0000 0.0000 0.5000 1

=====

Calculated DFT total energy, -52.844, -61.866 eV per cell (same order as the records).
Calculated ΔH_f (0 K), 376, 323 meV per atom (same order as the records).